Record 1
A crystal of LiMnZnOs2 relaxed with PBEsol, computed with SCAN.

Output
For the density of states at the Fermi level, the calculation gives 5.9 states/eV/cell. The total energy comes out at -34.26 eV per atom. As for the space group: P4/mmm.

Cell lengths 4.3434, 4.3434, 4.2452 Å; angles 90.00, 90.00, 90.00 degrees
Last column: nearest neighbours and their distance in Å.
Atoms (fractional coordinates):
Li: 0.0000 0.0000 0.0000  2 Mn 2.12
Mn: 0.0000 0.0000 0.5000  2 Li 2.12, 4 Os 2.17
Zn: 0.5000 0.5000 0.0000  8 Os 3.04, 4 Li 3.07
Os: 0.0000 0.5000 0.5000  2 Mn 2.17
Os: 0.5000 0.0000 0.5000  2 Mn 2.17

***

Record 2
A crystal of LiMnP3 relaxed with PBEsol, computed with SCAN.

Output
For the density of states at the Fermi level, the calculation gives 2.7 states/eV/cell. The total energy comes out at -9.64 eV per atom. As for the space group: Pm-3m.

Cell lengths 4.2693, 4.2693, 4.2693 Å; angles 90.00, 90.00, 90.00 degrees
Last column: nearest neighbours and their distance in Å.
Atoms (fractional coordinates):
Li: 0.0000 0.0000 0.0000  6 P 2.13
Mn: 0.5000 0.5000 0.5000  12 P 3.02
P: 0.0000 0.0000 0.5000  2 Li 2.13
P: 0.0000 0.5000 0.0000  2 Li 2.13
P: 0.5000 0.0000 0.0000  2 Li 2.13